The following is a PBE-GGA calculation of an optimized crystal structure of AcPuPSe, from Alexandria.

As for the crystal system: trigonal. The energy relative to the elements, uncorrected comes out at -1.530 eV per atom.

The space group is R3m (No. 160, hexagonal axes) and the conventional cell measures 4.2698, 4.2698 and 21.0570 Å, with angles of 90.00, 90.00 and 120.00 degrees. Symmetry generates all atoms from Ac at (0.0000, 0.0000, 0.0000), Pu at (0.0000, 0.0000, 0.4901), P at (0.0000, 0.0000, 0.7529) and Se at (0.0000, 0.0000, 0.2370).

=====

The following is a PBE-GGA calculation of an optimized crystal structure of TmUSe2, from Alexandria.

As for the crystal system: trigonal. The energy relative to the elements, uncorrected comes out at -1.296 eV per atom.

The space group is R3m (No. 160, hexagonal axes) and the conventional cell measures 3.8589, 3.8589 and 21.9780 Å, with angles of 90.00, 90.00 and 120.00 degrees. Symmetry generates all atoms from Tm at (0.0000, 0.0000, 0.0000), U at (0.0000, 0.0000, 0.8263), Se at (0.0000, 0.0000, 0.4087) and Se at (0.0000, 0.0000, 0.5842).

=====

The following is a PBE-GGA calculation of an optimized crystal structure of Cs2KBeCl6, from Alexandria.

As for the crystal system: cubic. The energy relative to the elements, uncorrected comes out at -1.456 eV per atom.

The space group is Fm-3m (No. 225) and the conventional cell measures 10.697, 10.697 and 10.697 Å, with angles of 90.00, 90.00 and 90.00 degrees. Symmetry generates all atoms from Cs at (0.250, 0.250, 0.250), K at (0.000, 0.000, 0.000), Be at (0.000, 0.000, 0.500) and Cl at (0.000, 0.000, 0.286).

=====

What did the second record say?
The following is a PBE-GGA calculation of an optimized crystal structure of TmUSe2, from Alexandria.

As for the crystal system: trigonal. The energy relative to the elements, uncorrected comes out at -1.296 eV per atom.

The space group is R3m (No. 160, hexagonal axes) and the conventional cell measures 3.8589, 3.8589 and 21.9780 Å, with angles of 90.00, 90.00 and 120.00 degrees. Symmetry generates all atoms from Tm at (0.0000, 0.0000, 0.0000), U at (0.0000, 0.0000, 0.8263), Se at (0.0000, 0.0000, 0.4087) and Se at (0.0000, 0.0000, 0.5842).